A relaxed structure of TaCo2H2, computed with PBE-GGA.

Properties
Total magnetic moment ... 0.000 μB/atom
Calculated volume ... 42.24 Å³ per cell
Raw total energy ... -33.22 eV per cell

abc: 4.650 4.650 4.650
angles: 139.37 139.37 58.81
Element x y z (fractional)
Ta 0.000 0.000 0.000
Co 0.340 0.340 0.000
Co 0.660 0.660 0.000
H 0.250 0.750 0.500
H 0.750 0.250 0.500

---

A relaxed structure of Cr3GeB, computed with PBE-GGA.

Properties
DFT formation energy ... 1.774 eV/atom
Total magnetic moment ... 1.803 μB/atom
Calculated volume ... 93.07 Å³ per cell
Raw total energy ... -31.29 eV per cell

abc: 4.532 4.532 4.532
angles: 90.00 90.00 90.00
Element x y z (fractional)
Cr 0.000 0.000 0.500
Cr 0.000 0.500 0.000
Cr 0.500 0.000 0.000
Ge 0.000 0.000 0.000
B 0.500 0.500 0.500

---

A relaxed structure of Ca2Re, computed with PBE-GGA.

Properties
DFT formation energy ... 0.775 eV/atom
Total magnetic moment ... 0.000 μB/atom
Calculated volume ... 73.90 Å³ per cell
Raw total energy ... -14.13 eV per cell

abc: 8.186 8.186 8.186
angles: 158.46 158.46 30.65
Element x y z (fractional)
Ca 0.140 0.140 0.000
Ca 0.860 0.860 0.000
Re 0.500 0.500 0.000

---

A relaxed structure of Sm3SiRh2, computed with PBE-GGA.

Properties
Total magnetic moment ... 0.000 μB/atom
Calculated volume ... 566.50 Å³ per cell
Raw total energy ... -155.00 eV per cell

abc: 11.799 3.919 12.250
angles: 90.00 90.00 90.00
Element x y z (fractional)
Sm 0.063 0.250 0.119
Sm 0.127 0.750 0.554
Sm 0.198 0.250 0.808
Sm 0.302 0.750 0.308
Sm 0.373 0.250 0.054
Sm 0.437 0.750 0.619
Sm 0.563 0.250 0.381
Sm 0.627 0.750 0.946
Sm 0.698 0.250 0.692
Sm 0.802 0.750 0.192
Sm 0.873 0.250 0.446
Sm 0.937 0.750 0.881
Si 0.120 0.250 0.361
Si 0.380 0.750 0.861
Si 0.620 0.250 0.139
Si 0.880 0.750 0.639
Rh 0.019 0.750 0.308
Rh 0.196 0.750 0.979
Rh 0.304 0.250 0.479
Rh 0.481 0.250 0.808
Rh 0.519 0.750 0.192
Rh 0.696 0.750 0.521
Rh 0.804 0.250 0.021
Rh 0.981 0.250 0.692

---

A relaxed structure of TiSe2S, computed with PBE-GGA.

Properties
Total magnetic moment ... 0.034 μB/atom
Calculated volume ... 87.24 Å³ per cell
Raw total energy ... -20.79 eV per cell

abc: 8.176 8.176 8.176
angles: 25.21 25.21 25.21
Element x y z (fractional)
Ti 0.000 0.000 0.000
Se 0.398 0.398 0.398
Se 0.602 0.602 0.602
S 0.500 0.500 0.500

---

A relaxed structure of CrP2ICl, computed with PBE-GGA.

Properties
Total magnetic moment ... 0.038 μB/atom
Calculated volume ... 99.12 Å³ per cell
Raw total energy ... -22.38 eV per cell

abc: 4.592 4.592 4.701
angles: 90.00 90.00 90.00
Element x y z (fractional)
Cr 0.000 0.000 0.000
P 0.000 0.500 0.000
P 0.500 0.000 0.000
I 0.500 0.500 0.500
Cl 0.000 0.000 0.500

---

A relaxed structure of TaI5Br, computed with PBE-GGA.

Properties
Total magnetic moment ... 0.132 μB/atom
Calculated volume ... 420.54 Å³ per cell
Raw total energy ... -23.09 eV per cell

abc: 8.319 8.319 8.319
angles: 111.87 95.72 121.87
Element x y z (fractional)
Ta 0.000 0.000 0.000
I 0.185 0.416 0.231
I 0.185 0.943 0.242
I 0.185 0.955 0.769
I 0.664 0.664 0.000
I 0.701 0.943 0.758
Br 0.590 0.090 0.500

---

A relaxed structure of TaNiRh, computed with PBE-GGA.

Properties
DFT formation energy ... 0.170 eV/atom
Total magnetic moment ... 0.000 μB/atom
Calculated volume ... 51.51 Å³ per cell
Raw total energy ... -24.48 eV per cell

abc: 4.176 4.176 4.176
angles: 60.00 60.00 60.00
Element x y z (fractional)
Ta 0.000 0.000 0.000
Ni 0.500 0.500 0.500
Rh 0.750 0.750 0.750

---

Please write out number 3 again, unchanged.
A relaxed structure of Ca2Re, computed with PBE-GGA.

Properties
DFT formation energy ... 0.775 eV/atom
Total magnetic moment ... 0.000 μB/atom
Calculated volume ... 73.90 Å³ per cell
Raw total energy ... -14.13 eV per cell

abc: 8.186 8.186 8.186
angles: 158.46 158.46 30.65
Element x y z (fractional)
Ca 0.140 0.140 0.000
Ca 0.860 0.860 0.000
Re 0.500 0.500 0.000